Entry 1:
Material: Zn3CrSe4
Method: DFT, PBE
State: optimized geometry Values from VASP.

Total moment: 4.00 μB/f.u.
Space-group type: P-43m, No. 215
E_form (uncorrected): -530 meV/atom

```
&SYSTEM
  ibrav = 0, nat = 8, ntyp = 3
/
ATOMIC_SPECIES
Zn 65.41 Zn.upf
Cr 52.00 Cr.upf
Se 78.96 Se.upf
CELL_PARAMETERS angstrom
5.760 0.000 0.000
0.000 5.760 0.000
0.000 0.000 5.760
ATOMIC_POSITIONS crystal
Zn 0.000 0.000 0.500
Zn 0.000 0.500 0.000
Zn 0.500 0.000 0.000
Cr 0.500 0.500 0.500
Se 0.249 0.249 0.751
Se 0.249 0.751 0.249
Se 0.751 0.249 0.249
Se 0.751 0.751 0.751
```

***

Entry 2:
Material: Pm2Pr2Nd4Mg
Method: DFT, PBE
State: optimized geometry Values from VASP.

Calculated formation energy: 0.72 eV/f.u.
Total moment: 0.00 μB/f.u.
Space-group type: P-1, No. 2

```
&SYSTEM
  ibrav = 0, nat = 9, ntyp = 4
/
ATOMIC_SPECIES
Pm 145.00 Pm.upf
Pr 140.91 Pr.upf
Nd 144.24 Nd.upf
Mg 24.30 Mg.upf
CELL_PARAMETERS angstrom
6.611 0.000 0.000
0.490 6.596 0.000
1.962 1.860 7.176
ATOMIC_POSITIONS crystal
Pm 0.129 0.293 0.393
Pm 0.871 0.707 0.607
Pr 0.316 0.871 0.716
Pr 0.684 0.129 0.284
Nd 0.174 0.326 0.904
Nd 0.291 0.831 0.194
Nd 0.709 0.169 0.806
Nd 0.826 0.674 0.096
Mg 0.500 0.500 0.500
```

***

Entry 3:
Material: TbY8
Method: DFT, PBE
State: optimized geometry Values from VASP.

Calculated formation energy: 0.21 eV/f.u.
Total moment: 0.00 μB/f.u.
Space-group type: I4/mmm, No. 139

```
&SYSTEM
  ibrav = 0, nat = 9, ntyp = 2
/
ATOMIC_SPECIES
Tb 158.93 Tb.upf
Y 88.91 Y.upf
CELL_PARAMETERS angstrom
-5.359 5.359 2.521
5.359 -5.359 2.521
5.359 5.359 -2.521
ATOMIC_POSITIONS crystal
Tb 0.000 0.000 0.000
Y 0.000 0.333 0.333
Y 0.000 0.667 0.667
Y 0.333 0.000 0.333
Y 0.334 0.334 0.667
Y 0.334 0.666 0.000
Y 0.666 0.334 0.000
Y 0.666 0.666 0.333
Y 0.667 0.000 0.667
```

***

Entry 4:
Material: Li2InBr
Method: DFT, PBE
State: optimized geometry Values from VASP.

Total moment: 0.00 μB/f.u.
Space-group type: Imm2, No. 44
Polymorph energy (0 for the lowest one): 0.0619 eV/atom
E_form (uncorrected): -662 meV/atom

```
&SYSTEM
  ibrav = 0, nat = 4, ntyp = 3
/
ATOMIC_SPECIES
Li 6.94 Li.upf
In 114.82 In.upf
Br 79.90 Br.upf
CELL_PARAMETERS angstrom
-1.684 1.710 8.035
1.684 -1.710 8.035
1.684 1.710 -8.035
ATOMIC_POSITIONS crystal
Li 0.000 0.000 0.000
Li 0.702 0.202 0.500
In 0.371 0.371 0.000
Br 0.127 0.627 0.500
```

***

Entry 5:
Material: HoHf2ScAs4
Method: DFT, PBE
State: optimized geometry Values from VASP.

Calculated formation energy: -9.69 eV/f.u.
Total moment: 0.00 μB/f.u.
Space-group type: P2/m, No. 10

```
&SYSTEM
  ibrav = 0, nat = 8, ntyp = 4
/
ATOMIC_SPECIES
Ho 164.93 Ho.upf
Hf 178.49 Hf.upf
Sc 44.96 Sc.upf
As 74.92 As.upf
CELL_PARAMETERS angstrom
6.737 0.000 0.000
0.000 3.889 0.000
-2.257 0.000 6.429
ATOMIC_POSITIONS crystal
Ho 0.000 0.000 0.000
Hf 0.000 0.500 0.500
Hf 0.500 0.000 0.500
Sc 0.500 0.500 0.000
As 0.253 0.000 0.744
As 0.259 0.500 0.261
As 0.741 0.500 0.739
As 0.747 0.000 0.256
```

***

Entry 6:
Material: CaYTmAl
Method: DFT, PBE
State: optimized geometry Values from VASP.

Calculated formation energy: -0.18 eV/f.u.
Total moment: 0.00 μB/f.u.
Space-group type: F-43m, No. 216

```
&SYSTEM
  ibrav = 0, nat = 4, ntyp = 4
/
ATOMIC_SPECIES
Ca 40.08 Ca.upf
Y 88.91 Y.upf
Tm 168.93 Tm.upf
Al 26.98 Al.upf
CELL_PARAMETERS angstrom
0.000 3.794 3.794
3.794 0.000 3.794
3.794 3.794 0.000
ATOMIC_POSITIONS crystal
Ca 0.000 0.000 0.000
Y 0.250 0.250 0.250
Tm 0.750 0.750 0.750
Al 0.500 0.500 0.500
```